{
  "formula": "Pr2Nd4SmDy",
  "functional": "GGA-PBE",
  "state": "optimized geometry",
  "cell": [[5.179, 0.000, 0.000], [0.000, 5.190, 0.000], [-0.025, 0.000, 10.365]],
  "species": ["Pr", "Pr", "Nd", "Nd", "Nd", "Nd", "Sm", "Dy"],
  "frac_coords": [[0.000, 0.000, 0.000], [0.500, 0.500, 0.500], [0.000, 0.500, 0.248], [0.000, 0.500, 0.752], [0.500, 0.000, 0.249], [0.500, 0.000, 0.751], [0.000, 0.000, 0.500], [0.500, 0.500, 0.000]],
  "total_magnetization_mub_per_fu": 0.0,
  "ef_ev_per_atom": 0.013,
  "dos_ef_per_ev_atom": 1.484,
  "mass_density_g_cm3": 7.0
}



{
  "formula": "SrAcSi2Au2",
  "functional": "GGA-PBE",
  "state": "optimized geometry",
  "cell": [[4.399, 0.000, 0.000], [-2.199, 3.809, 0.000], [0.000, 0.000, 9.000]],
  "species": ["Sr", "Ac", "Si", "Si", "Au", "Au"],
  "frac_coords": [[0.000, 0.000, 0.000], [0.000, 0.000, 0.500], [0.333, 0.667, 0.258], [0.667, 0.333, 0.742], [0.333, 0.667, 0.754], [0.667, 0.333, 0.246]],
  "e_form_raw_mev_per_atom": -727,
  "total_magnetization_mub_per_fu": 0.0,
  "dos_ef_per_ev_atom": 0.570,
  "mass_density_g_cm3": 8.4
}



{
  "formula": "Li3Co2Ge4Pd2",
  "functional": "GGA-PBE",
  "state": "optimized geometry",
  "cell": [[4.236, 0.000, 0.000], [-2.118, 3.668, 0.000], [0.000, 0.000, 10.103]],
  "species": ["Li", "Li", "Li", "Co", "Co", "Ge", "Ge", "Ge", "Ge", "Pd", "Pd"],
  "frac_coords": [[0.000, 0.000, 0.000], [0.000, 0.000, 0.280], [0.000, 0.000, 0.720], [0.333, 0.667, 0.597], [0.667, 0.333, 0.403], [0.333, 0.667, 0.367], [0.333, 0.667, 0.833], [0.667, 0.333, 0.167], [0.667, 0.333, 0.633], [0.333, 0.667, 0.094], [0.667, 0.333, 0.906]],
  "total_magnetization_mub_per_fu": 0.0,
  "ef_ev_per_atom": -0.311,
  "dos_ef_per_ev_atom": 0.673,
  "mass_density_g_cm3": 6.8
}



{
  "formula": "Cs4CdHg3",
  "functional": "GGA-PBE",
  "state": "optimized geometry",
  "cell": [[5.376, 0.000, 0.000], [0.000, 5.569, 0.000], [0.000, 0.000, 13.997]],
  "species": ["Cs", "Cs", "Cs", "Cs", "Cd", "Hg", "Hg", "Hg"],
  "frac_coords": [[0.000, 0.000, 0.000], [0.000, 0.500, 0.497], [0.500, 0.000, 0.707], [0.500, 0.500, 0.208], [0.000, 0.500, 0.800], [0.000, 0.000, 0.293], [0.500, 0.000, 0.412], [0.500, 0.500, 0.908]],
  "total_magnetization_mub_per_fu": 0.0,
  "ef_ev_per_atom": -0.195,
  "dos_ef_per_ev_atom": 0.691,
  "mass_density_g_cm3": 4.9
}



{
  "formula": "Li2DyMgAg4",
  "functional": "GGA-PBE",
  "state": "optimized geometry",
  "cell": [[2.394, 1.382, 7.727], [-2.394, 1.382, 7.727], [0.000, -2.765, 7.727]],
  "species": ["Li", "Li", "Dy", "Mg", "Ag", "Ag", "Ag", "Ag"],
  "frac_coords": [[0.249, 0.249, 0.249], [0.751, 0.751, 0.751], [0.000, 0.000, 0.000], [0.500, 0.500, 0.500], [0.130, 0.130, 0.130], [0.382, 0.382, 0.382], [0.618, 0.618, 0.618], [0.870, 0.870, 0.870]],
  "total_magnetization_mub_per_fu": 0.0,
  "ef_ev_per_atom": -0.207,
  "dos_ef_per_ev_atom": 0.368,
  "mass_density_g_cm3": 6.8
}



{
  "formula": "Cs3TbO3",
  "functional": "GGA-PBE",
  "state": "optimized geometry",
  "cell": [[3.981, -6.526, 0.000], [3.981, 6.526, 0.000], [-1.448, 0.000, 7.640]],
  "species": ["Cs", "Cs", "Cs", "Cs", "Cs", "Cs", "Tb", "Tb", "O", "O", "O", "O", "O", "O"],
  "frac_coords": [[0.217, 0.783, 0.000], [0.262, 0.738, 0.500], [0.355, 0.355, 0.148], [0.645, 0.645, 0.852], [0.738, 0.262, 0.500], [0.783, 0.217, 0.000], [0.172, 0.172, 0.653], [0.828, 0.828, 0.347], [0.108, 0.108, 0.364], [0.164, 0.435, 0.767], [0.435, 0.164, 0.767], [0.565, 0.836, 0.233], [0.836, 0.565, 0.233], [0.892, 0.892, 0.636]],
  "e_form_raw_mev_per_atom": -1904,
  "total_magnetization_mub_per_fu": 0.1,
  "polymorph_energy_mev_per_atom": 12,
  "dos_ef_per_ev_atom": 0.000,
  "mass_density_g_cm3": 5.1
}